P.
DFT (GGA-PBE) results for crystalline LiNi4Rh at its relaxed geometry.

Cell lengths 4.695, 4.695, 4.695 Å; angles 60.00, 60.00, 60.00 degrees
Fractional coordinates of all 6 atoms:
1 Li 0.000 0.000 0.000
2 Ni 0.375 0.875 0.375
3 Ni 0.375 0.375 0.875
4 Ni 0.875 0.375 0.375
5 Rh 0.750 0.750 0.750
6 Ni 0.375 0.375 0.375

DOS at the Fermi energy: 1.588 states/eV per atom
magnetization: 3.2 μB per formula unit

***

Q.
DFT (GGA-PBE) results for crystalline LiNi4Rh at its relaxed geometry.

Cell lengths 4.412, 4.412, 4.406 Å; angles 80.02, 80.01, 120.35 degrees
Fractional coordinates of all 6 atoms:
1 Ni 0.168 0.333 0.001
2 Ni 0.828 0.673 0.001
3 Ni 0.667 0.833 0.501
4 Li 0.998 0.503 0.501
5 Rh 0.498 0.003 0.001
6 Ni 0.329 0.172 0.501

DOS at the Fermi energy: 1.441 states/eV per atom
magnetization: 2.5 μB per formula unit

***

Winner for stability: Q

***

P.
DFT (GGA-PBE) results for crystalline LiNiSbRh at its relaxed geometry.

Cell lengths 4.038, 4.038, 4.512 Å; angles 116.58, 116.58, 89.99 degrees
Fractional coordinates of all 4 atoms:
1 Ni 0.500 0.500 0.000
2 Sb 0.250 0.750 0.500
3 Li 0.750 0.250 0.500
4 Rh 0.000 0.000 0.000

DOS at the Fermi energy: 0.244 states/eV per atom
magnetization: 0.0 μB per formula unit

***

Q.
DFT (GGA-PBE) results for crystalline LiNiSbRh at its relaxed geometry.

Cell lengths 4.323, 4.323, 4.323 Å; angles 60.00, 60.00, 60.00 degrees
Fractional coordinates of all 4 atoms:
1 Ni 0.250 0.250 0.250
2 Li 0.000 0.000 0.000
3 Sb 0.500 0.500 0.500
4 Rh 0.750 0.750 0.750

DOS at the Fermi energy: 0.796 states/eV per atom
magnetization: 0.0 μB per formula unit

***

Winner for stability: P

***

P.
DFT (GGA-PBE) results for crystalline LiNiRu2 at its relaxed geometry.

Cell lengths 2.588, 2.588, 8.824 Å; angles 90.00, 90.00, 115.89 degrees
Fractional coordinates of all 4 atoms:
1 Li 0.500 0.500 0.250
2 Ru 0.000 0.000 0.510
3 Ni 0.500 0.500 0.750
4 Ru 0.000 0.000 0.990

DOS at the Fermi energy: 1.152 states/eV per atom
magnetization: 0.0 μB per formula unit

***

Q.
DFT (GGA-PBE) results for crystalline LiNiRu2 at its relaxed geometry.

Cell lengths 3.966, 2.615, 5.088 Å; angles 73.60, 90.00, 90.00 degrees
Fractional coordinates of all 4 atoms:
1 Li 0.000 0.531 0.519
2 Ru 0.000 0.973 0.014
3 Ru 0.500 0.334 0.241
4 Ni 0.500 0.662 0.726

DOS at the Fermi energy: 1.033 states/eV per atom
magnetization: 0.0 μB per formula unit

***

Winner for stability: Q

***

P.
DFT (GGA-PBE) results for crystalline LiNiRu2 at its relaxed geometry.

Cell lengths 7.257, 7.257, 5.609 Å; angles 49.68, 49.68, 90.00 degrees
Fractional coordinates of all 8 atoms:
1 Li 0.250 0.750 0.500
2 Ru 0.875 0.936 0.750
3 Ni 0.750 0.250 0.500
4 Li 0.500 0.500 0.000
5 Ru 0.686 0.125 0.250
6 Ru 0.064 0.625 0.250
7 Ru 0.375 0.314 0.750
8 Ni 0.000 0.000 0.000

DOS at the Fermi energy: 1.540 states/eV per atom
magnetization: 0.0 μB per formula unit

***

Q.
DFT (GGA-PBE) results for crystalline LiNiRu2 at its relaxed geometry.

Cell lengths 4.535, 4.535, 4.560 Å; angles 81.76, 81.76, 33.58 degrees
Fractional coordinates of all 4 atoms:
1 Ru 0.744 0.744 0.774
2 Ni 0.256 0.256 0.279
3 Ru 0.994 0.994 0.975
4 Li 0.505 0.505 0.472

DOS at the Fermi energy: 1.074 states/eV per atom
magnetization: 0.0 μB per formula unit

***

R.
DFT (GGA-PBE) results for crystalline LiNiRu2 at its relaxed geometry.

Cell lengths 4.706, 4.706, 4.706 Å; angles 142.29, 128.83, 65.29 degrees
Fractional coordinates of all 4 atoms:
1 Ni 0.263 0.763 0.500
2 Ru 0.742 0.242 0.500
3 Li 0.489 0.489 0.000
4 Ru 0.005 0.005 0.000

DOS at the Fermi energy: 0.934 states/eV per atom
magnetization: 0.0 μB per formula unit

***

S.
DFT (GGA-PBE) results for crystalline LiNiRu2 at its relaxed geometry.

Cell lengths 4.689, 4.689, 2.564 Å; angles 90.00, 90.00, 115.26 degrees
Fractional coordinates of all 4 atoms:
1 Ni 0.000 0.500 0.500
2 Ru 0.500 0.500 0.000
3 Li 0.500 0.000 0.500
4 Ru 0.000 0.000 0.000

DOS at the Fermi energy: 1.425 states/eV per atom
magnetization: 0.0 μB per formula unit

***

Winner for stability: Q